[1]
8
Lattice="-1.9783 2.9705 -2.0403 -5.5795 -0.7656 4.2953 0.6971 4.3192 5.6122" Properties=species:S:1:pos:R:3 comment="PBE Pa4SiGeAs2, relaxed" formation_energy_uncorrected_ev_per_atom=-0.75 pbc="T T T"
Pa -3.6305 2.6899 7.4362
Pa -3.2302 3.8342 0.4309
Pa -4.9864 1.9827 3.5798
Pa -1.8743 4.5414 4.2873
Si -3.7789 1.1025 1.1275
Ge -2.4411 1.7768 4.9537
As 0.6971 4.3192 5.6122
As -0.6406 3.6448 1.7859


[2]
6
Lattice="-4.9125 2.3229 -2.5999 -3.0460 -3.2075 -4.0892 -5.4446 -2.1994 1.3439" Properties=species:S:1:pos:R:3 comment="PBE CeTlCd4, relaxed" e_form_mev_per_atom=-64 pbc="T T T"
Tl 0.0000 0.0000 0.0000
Ce -3.3508 -0.7710 -1.3363
Cd -5.6586 -0.8305 -4.0075
Cd -6.8534 -0.3284 -1.3014
Cd -8.3705 -1.9260 -3.3382
Cd -5.9237 -3.0830 -2.0432


[3]
4
Lattice="5.5072 0.0000 0.0000 2.7536 4.7694 0.0000 2.7536 1.5898 4.4966" Properties=species:S:1:pos:R:3 comment="PBE BaLa2Mo, relaxed" e_form_mev_per_atom=758 pbc="T T T"
Ba 5.5072 3.1796 2.2483
La 0.0000 0.0000 0.0000
La 2.7536 1.5898 1.1242
Mo 8.2608 4.7694 3.3725


[4]
16
Lattice="6.7455 0.0000 0.0000 0.0000 6.7455 0.0000 0.0000 0.0000 6.7455" Properties=species:S:1:pos:R:3 comment="PBE PmPd3S4, relaxed" formation_energy_uncorrected_ev_per_atom=-0.90 pbc="T T T"
S 1.6864 1.6864 1.6864
S 1.6864 5.0592 1.6864
S 1.6864 1.6864 5.0592
S 1.6864 5.0592 5.0592
S 5.0592 1.6864 1.6864
S 5.0592 1.6864 5.0592
S 5.0592 5.0592 1.6864
S 5.0592 5.0592 5.0592
Pd 0.0000 3.3728 1.6864
Pd 0.0000 3.3728 5.0592
Pd 1.6864 0.0000 3.3728
Pd 3.3728 1.6864 0.0000
Pd 3.3728 5.0592 0.0000
Pd 5.0592 0.0000 3.3728
Pm 0.0000 0.0000 0.0000
Pm 3.3728 3.3728 3.3728